A plane-wave DFT calculation with PBE was carried out for BaAg2P2Se7 after structural relaxation.

It has space group R32 (No. 155, hexagonal axes), with a = 6.7473 Å, b = 6.7473 Å, c = 32.9850 Å, α = 90.00°, β = 90.00° and γ = 120.00°. The inequivalent atoms are Ba at (0.0000, 0.0000, 0.0000), Ag at (0.0000, 0.0000, 0.2517), P at (0.0000, 0.0000, 0.4278), Se at (0.0000, 0.0000, 0.5000) and Se at (0.0133, 0.3894, 0.7463).

Its magnetic moment is 0.33 μB/f.u. The uncorrected formation energy is -23.6 kJ per mole of atoms.